{
  "formula": "DyLu2Re",
  "functional": "PBE-GGA",
  "state": "relaxed",
  "lattice": [[-0.6908, -1.2984, 2.8114], [-0.6882, -3.0913, 0.1936], [10.3328, -3.7663, 2.5900]],
  "species": ["Dy", "Lu", "Lu", "Re"],
  "frac_coords": [[0.5000, 0.5000, 0.5000], [0.0798, 0.0798, 0.7606], [0.9202, 0.9202, 0.2394], [0.0000, 0.0000, 0.0000]],
  "formation_energy_ev_per_atom": 0.732,
  "magnetic_moment_mub_per_fu": 0.01,
  "space_group": "R-3m (166)"
}